# Rb2LiRhCl6, PBEsol geometry, DFT SCAN
data_Rb2LiRhCl6
_cell_length_a 6.9129
_cell_length_b 6.9129
_cell_length_c 6.0114
_cell_angle_alpha 90.00
_cell_angle_beta 90.00
_cell_angle_gamma 120.00
_symmetry_space_group_name_H-M 'P -3 m 1'
_symmetry_Int_Tables_number 164
_symmetry_space_group_name_Hall '-P 3 2"'
loop_
_atom_site_label
_atom_site_fract_x
_atom_site_fract_y
_atom_site_fract_z
_atom_site_occupancy
Rb1 0.3333 0.6667 0.2168 1
Li1 0.0000 0.0000 0.5000 1
Rh1 0.0000 0.0000 0.0000 1
Cl1 0.1579 0.3158 0.7723 1
# Formation energy from raw total energies = -1.667 eV per atom
# DOS at the Fermi energy = 0.0 states/eV per cell
# Total magnetic moment = 0.00 μB/f.u.

# Rb2LiRuCl6, PBEsol geometry, DFT SCAN
data_Rb2LiRuCl6
_cell_length_a 6.9064
_cell_length_b 6.9064
_cell_length_c 5.9550
_cell_angle_alpha 90.00
_cell_angle_beta 90.00
_cell_angle_gamma 120.00
_symmetry_space_group_name_H-M 'P -3 m 1'
_symmetry_Int_Tables_number 164
_symmetry_space_group_name_Hall '-P 3 2"'
loop_
_atom_site_label
_atom_site_fract_x
_atom_site_fract_y
_atom_site_fract_z
_atom_site_occupancy
Rb1 0.3333 0.6667 0.2246 1
Li1 0.0000 0.0000 0.5000 1
Ru1 0.0000 0.0000 0.0000 1
Cl1 0.1595 0.3189 0.7696 1
# Formation energy from raw total energies = -1.596 eV per atom
# DOS at the Fermi energy = 6.5 states/eV per cell
# Total magnetic moment = 1.00 μB/f.u.

# Li2ReCl, PBEsol geometry, DFT SCAN
data_Li2ReCl
_cell_length_a 2.8403
_cell_length_b 2.8403
_cell_length_c 24.0537
_cell_angle_alpha 90.00
_cell_angle_beta 90.00
_cell_angle_gamma 120.00
_symmetry_space_group_name_H-M 'R -3 m'
_symmetry_Int_Tables_number 166
_symmetry_space_group_name_Hall '-R 3 2"'
loop_
_atom_site_label
_atom_site_fract_x
_atom_site_fract_y
_atom_site_fract_z
_atom_site_occupancy
Li1 0.0000 0.0000 0.2348 1
Re1 0.0000 0.0000 0.0000 1
Cl1 0.0000 0.0000 0.5000 1
# Formation energy from raw total energies = -0.353 eV per atom
# DOS at the Fermi energy = 4.0 states/eV per cell
# Total magnetic moment = 0.00 μB/f.u.
# Offset from the most stable computed form = 0.000 eV per atom

What did the second record say?
# Rb2LiRuCl6, PBEsol geometry, DFT SCAN
data_Rb2LiRuCl6
_cell_length_a 6.9064
_cell_length_b 6.9064
_cell_length_c 5.9550
_cell_angle_alpha 90.00
_cell_angle_beta 90.00
_cell_angle_gamma 120.00
_symmetry_space_group_name_H-M 'P -3 m 1'
_symmetry_Int_Tables_number 164
_symmetry_space_group_name_Hall '-P 3 2"'
loop_
_atom_site_label
_atom_site_fract_x
_atom_site_fract_y
_atom_site_fract_z
_atom_site_occupancy
Rb1 0.3333 0.6667 0.2246 1
Li1 0.0000 0.0000 0.5000 1
Ru1 0.0000 0.0000 0.0000 1
Cl1 0.1595 0.3189 0.7696 1
# Formation energy from raw total energies = -1.596 eV per atom
# DOS at the Fermi energy = 6.5 states/eV per cell
# Total magnetic moment = 1.00 μB/f.u.